[1]
VASP calculation (PBE+U) on a relaxed structure of RbDyV2O8.

a b c (Å): 5.9385 5.9385 8.0494
angles (deg): 90.00 90.00 120.00
Site moments in Bohr magnetons follow the coordinates.
Positions (direct):
Rb 0.0000 0.0000 0.0000  0.00
O 0.6549 0.8294 0.6718  0.21
O 0.3451 0.1706 0.3282  0.21
O 0.1746 0.3451 0.6718  0.21
O 0.8294 0.1746 0.3282  0.21
O 0.1706 0.8254 0.6718  0.21
O 0.3333 0.6667 0.9540  0.35
O 0.8254 0.6549 0.3282  0.21
O 0.6667 0.3333 0.0460  0.35
V 0.3333 0.6667 0.7411  -0.18
V 0.6667 0.3333 0.2589  -0.18
Dy 0.0000 0.0000 0.5000  -0.03

Values from the calculation:
* E: -6.9853 eV per atom
* space-group type: No. 147
* DOS(E_F): 10.7 states/eV/f.u.

[2]
VASP calculation (PBE+U) on a relaxed structure of Rb4Dy3VO8.

a b c (Å): 6.8338 7.6356 6.8943
angles (deg): 116.87 119.71 90.00
Site moments in Bohr magnetons follow the coordinates.
Positions (direct):
O 0.7742 0.3208 0.5484  0.00
O 0.2258 0.6792 0.4516  0.00
O 0.2108 0.6682 0.9563  -0.01
O 0.2545 0.3318 0.0437  -0.01
O 0.7455 0.6682 0.9563  -0.01
O 0.7242 0.6764 0.4485  0.00
O 0.2758 0.3236 0.5515  0.00
O 0.7892 0.3318 0.0437  -0.01
Dy 0.0000 0.5000 0.5000  0.00
Dy 0.5000 0.5000 0.0000  0.00
Dy 0.5000 0.5000 0.5000  0.00
Rb 0.0000 0.0000 0.5000  0.00
Rb 0.0000 0.0000 0.0000  0.00
Rb 0.5000 0.0000 0.0000  0.00
Rb 0.5000 0.0000 0.5000  0.00
V 0.0000 0.5000 0.0000  1.93

Values from the calculation:
* E: -6.4714 eV per atom
* space-group type: No. 12
* DOS(E_F): 0.0 states/eV/f.u.

[3]
VASP calculation (PBE+U) on a relaxed structure of Rb3DyV2O8.

a b c (Å): 6.0835 6.0835 8.0053
angles (deg): 90.00 90.00 120.00
Positions (direct):
O 0.3333 0.6667 0.0493
O 0.1751 0.3502 0.3336
O 0.6667 0.3333 0.9507
O 0.8249 0.6498 0.6664
O 0.3502 0.1751 0.6664
O 0.1751 0.8249 0.3336
O 0.6498 0.8249 0.3336
O 0.8249 0.1751 0.6664
Dy 0.0000 0.0000 0.5000
Rb 0.6667 0.3333 0.2954
Rb 0.0000 0.0000 0.0000
Rb 0.3333 0.6667 0.7046
V 0.3333 0.6667 0.2596
V 0.6667 0.3333 0.7404

Values from the calculation:
* E: -6.7567 eV per atom
* space-group type: No. 164
* DOS(E_F): 0.0 states/eV/f.u.

[4]
VASP calculation (PBE+U) on a relaxed structure of RbDyVO4.

a b c (Å): 5.9528 5.9544 7.6837
angles (deg): 90.00 108.09 90.00
Site moments in Bohr magnetons follow the coordinates.
Positions (direct):
O 0.5344 0.2500 0.7949  -0.03
O 0.5165 0.2500 0.4282  -0.04
O 0.4656 0.7500 0.2051  -0.03
O 0.0499 0.9734 0.3341  0.01
O 0.9501 0.0266 0.6659  0.01
O 0.9501 0.4734 0.6659  0.01
O 0.4835 0.7500 0.5718  -0.04
O 0.0499 0.5266 0.3341  0.01
V 0.2845 0.7500 0.3512  0.97
V 0.7155 0.2500 0.6488  0.97
Rb 0.7165 0.7500 0.9416  0.00
Rb 0.2835 0.2500 0.0584  0.00
Dy 0.8203 0.7500 0.4608  0.02
Dy 0.1797 0.2500 0.5392  0.02

Values from the calculation:
* E: -7.1426 eV per atom
* space-group type: No. 11
* DOS(E_F): 0.0 states/eV/f.u.

[5]
VASP calculation (PBE+U) on a relaxed structure of RbDyW2O8.

a b c (Å): 8.0764 9.1470 10.4644
angles (deg): 90.00 90.00 98.08
Positions (direct):
O 0.3474 0.2323 0.8828
O 0.7373 0.4925 0.0985
O 0.7103 0.3452 0.8556
O 0.2627 0.5075 0.9015
O 0.3791 0.3699 0.1259
O 0.7897 0.6548 0.3556
O 0.7369 0.1766 0.0864
O 0.6546 0.1107 0.4069
O 0.8454 0.8893 0.9069
O 0.9553 0.5901 0.8966
O 0.1546 0.1107 0.0931
O 0.3454 0.8893 0.5931
O 0.5069 0.2761 0.6010
O 0.0069 0.2761 0.8990
O 0.4931 0.7239 0.3990
O 0.2102 0.3452 0.6444
O 0.5447 0.4099 0.3966
O 0.2898 0.6548 0.1444
O 0.2373 0.4925 0.4015
O 0.7631 0.8234 0.5864
O 0.9931 0.7239 0.1010
O 0.1209 0.6301 0.6259
O 0.1526 0.7677 0.3828
O 0.0447 0.4099 0.1034
O 0.8474 0.2323 0.6172
O 0.6209 0.6301 0.8741
O 0.7627 0.5075 0.5985
O 0.6526 0.7677 0.1172
O 0.2369 0.1766 0.4136
O 0.4553 0.5901 0.6034
O 0.8791 0.3699 0.3741
O 0.2631 0.8234 0.9136
Dy 0.5210 0.5659 0.2223
Dy 0.9790 0.4341 0.7223
Dy 0.4790 0.4341 0.7777
Dy 0.0210 0.5659 0.2777
Rb 0.9263 0.9907 0.2822
Rb 0.4263 0.9907 0.2178
Rb 0.0737 0.0093 0.7178
Rb 0.5737 0.0093 0.7822
W 0.8262 0.3395 0.0091
W 0.2164 0.2822 0.0164
W 0.7164 0.2822 0.4836
W 0.1738 0.6605 0.9909
W 0.2836 0.7178 0.5164
W 0.6738 0.6605 0.5091
W 0.3262 0.3395 0.4909
W 0.7836 0.7178 0.9836

Values from the calculation:
* E: -7.3826 eV per atom
* space-group type: No. 14
* DOS(E_F): 0.0 states/eV/f.u.

[6]
VASP calculation (PBE+U) on a relaxed structure of RbDyW2O8.

a b c (Å): 6.0924 6.0924 7.9202
angles (deg): 90.00 90.00 120.00
Positions (direct):
Rb 0.0000 0.0000 0.0000
O 0.6667 0.3333 0.0279
O 0.8311 0.6618 0.3257
O 0.6618 0.8307 0.6743
O 0.3333 0.6667 0.9721
O 0.1689 0.3382 0.6743
O 0.8307 0.1689 0.3257
O 0.3382 0.1693 0.3257
O 0.1693 0.8311 0.6743
W 0.6667 0.3333 0.2522
W 0.3333 0.6667 0.7478
Dy 0.0000 0.0000 0.5000

Values from the calculation:
* E: -7.3542 eV per atom
* space-group type: No. 164
* DOS(E_F): 0.0 states/eV/f.u.